1.
{
  "formula": "Sn2AuI8",
  "functional": "GGA-PBE",
  "state": "optimized geometry",
  "spacegroup": "C2/m, No. 12",
  "energy_ev_per_cell": -26.05,
  "lattice": [[7.503, 0.355, 0.295], [0.544, 9.043, 0.139], [0.544, 1.789, 8.865]],
  "species": ["Sn", "Sn", "I", "I", "I", "I", "I", "I", "I", "I", "Au"],
  "fractional_positions": [[0.313, 0.209, 0.209], [0.687, 0.791, 0.791], [0.175, 0.295, 0.922], [0.690, 0.163, 0.163], [0.852, 0.599, 0.599], [0.148, 0.401, 0.401], [0.310, 0.837, 0.837], [0.825, 0.078, 0.705], [0.825, 0.705, 0.078], [0.175, 0.922, 0.295], [0.000, 0.000, 0.000]]
}

=====

2.
{
  "formula": "TiSn2AuI",
  "functional": "GGA-PBE",
  "state": "optimized geometry",
  "spacegroup": "P4/mmm, No. 123",
  "energy_ev_per_cell": -19.11,
  "lattice": [[5.548, 0.000, 0.000], [0.000, 4.991, 0.000], [0.000, 0.000, 5.548]],
  "species": ["Ti", "I", "Au", "Sn", "Sn"],
  "fractional_positions": [[0.000, 0.000, 0.000], [0.500, 0.500, 0.500], [0.000, 0.500, 0.000], [0.500, 0.000, 0.000], [0.000, 0.000, 0.500]]
}